# La6Ge2SBr3 GGA-PBE optimized geometry
data_La6Ge2SBr3
_cell_length_a 7.477
_cell_length_b 12.962
_cell_length_c 7.793
_cell_angle_alpha 90.00
_cell_angle_beta 108.70
_cell_angle_gamma 90.00
_space_group_name_H-M_alt 'C 1 2/m 1'
_space_group_IT_number 12
loop_
_space_group_symop_operation_xyz
'x,y,z'
'-x,-y,-z'
'-x,y,-z'
'x,-y,z'
'x+1/2,y+1/2,z'
'-x+1/2,-y+1/2,-z'
'-x+1/2,y+1/2,-z'
'x+1/2,-y+1/2,z'
loop_
_atom_site_label
_atom_site_fract_x
_atom_site_fract_y
_atom_site_fract_z
La1 0.234 0.163 0.215
La2 0.247 0.500 0.216
Ge1 0.000 0.334 0.000
S1 0.000 0.000 0.000
Br1 0.000 0.172 0.500
Br2 0.000 0.500 0.500
# **Theoretical density**: 5.81 g cm⁻³
# **Formation energy from raw total energies**: -17.04 eV per formula unit

---

# La8Ge3SBr4 GGA-PBE optimized geometry
data_La8Ge3SBr4
_cell_length_a 8.6847
_cell_length_b 8.6847
_cell_length_c 22.1685
_cell_angle_alpha 90.00
_cell_angle_beta 90.00
_cell_angle_gamma 120.00
_space_group_name_H-M_alt 'R -3 m'
_space_group_IT_number 166
_space_group_name_Hall '-R 3 2"'
loop_
_atom_site_label
_atom_site_fract_x
_atom_site_fract_y
_atom_site_fract_z
La1 0.0000 0.0000 0.2401
La2 0.0091 0.5045 0.2379
Ge1 0.0000 0.5000 0.5000
S1 0.0000 0.0000 0.5000
Br1 0.0000 0.0000 0.0000
Br2 0.0000 0.5000 0.0000
# **Theoretical density**: 5.78 g cm⁻³
# **Formation energy from raw total energies**: -21.93 eV per formula unit

---

# La4Ge2SBr GGA-PBE optimized geometry
data_La4Ge2SBr
_cell_length_a 7.469
_cell_length_b 4.389
_cell_length_c 7.620
_cell_angle_alpha 90.00
_cell_angle_beta 109.71
_cell_angle_gamma 90.00
_space_group_name_H-M_alt 'P 1 2/m 1'
_space_group_IT_number 10
loop_
_space_group_symop_operation_xyz
'x,y,z'
'-x,-y,-z'
'-x,y,-z'
'x,-y,z'
loop_
_atom_site_label
_atom_site_fract_x
_atom_site_fract_y
_atom_site_fract_z
La1 0.235 0.000 0.235
La2 0.243 0.500 0.757
Ge1 0.000 0.000 0.500
Ge2 0.000 0.500 0.000
S1 0.500 0.000 0.000
Br1 0.500 0.500 0.500
# **Theoretical density**: 5.74 g cm⁻³
# **Formation energy from raw total energies**: -10.94 eV per formula unit

---

# La8GeS3Br4 GGA-PBE optimized geometry
data_La8GeS3Br4
_cell_length_a 8.4449
_cell_length_b 8.4449
_cell_length_c 22.1058
_cell_angle_alpha 90.00
_cell_angle_beta 90.00
_cell_angle_gamma 120.00
_space_group_name_H-M_alt 'R -3 m'
_space_group_IT_number 166
_space_group_name_Hall '-R 3 2"'
loop_
_atom_site_label
_atom_site_fract_x
_atom_site_fract_y
_atom_site_fract_z
La1 0.0000 0.0000 0.2350
La2 0.0104 0.5052 0.7631
Ge1 0.0000 0.0000 0.5000
S1 0.0000 0.5000 0.5000
Br1 0.0000 0.0000 0.0000
Br2 0.0000 0.5000 0.0000
# **Theoretical density**: 5.84 g cm⁻³
# **Formation energy from raw total energies**: -26.16 eV per formula unit

---

# La6Ge2S3Br GGA-PBE optimized geometry
data_La6Ge2S3Br
_cell_length_a 18.636
_cell_length_b 4.290
_cell_length_c 8.601
_cell_angle_alpha 90.00
_cell_angle_beta 102.61
_cell_angle_gamma 90.00
_space_group_name_H-M_alt 'C 1 2/m 1'
_space_group_IT_number 12
loop_
_space_group_symop_operation_xyz
'x,y,z'
'-x,-y,-z'
'-x,y,-z'
'x,-y,z'
'x+1/2,y+1/2,z'
'-x+1/2,-y+1/2,-z'
'-x+1/2,y+1/2,-z'
'x+1/2,-y+1/2,z'
loop_
_atom_site_label
_atom_site_fract_x
_atom_site_fract_y
_atom_site_fract_z
La1 0.000 0.000 0.226
La2 0.167 0.500 0.084
La3 0.174 0.500 0.588
Ge1 0.164 0.000 0.828
S1 0.000 0.500 0.000
S2 0.164 0.000 0.336
Br1 0.000 0.500 0.500
# **Theoretical density**: 5.71 g cm⁻³
# **Formation energy from raw total energies**: -19.50 eV per formula unit

---

# LaGeS2Br GGA-PBE optimized geometry
data_LaGeS2Br
_cell_length_a 4.718
_cell_length_b 4.718
_cell_length_c 6.132
_cell_angle_alpha 90.00
_cell_angle_beta 90.00
_cell_angle_gamma 90.00
_space_group_name_H-M_alt 'P 4/m m m'
_space_group_IT_number 123
_space_group_name_Hall '-P 4 2'
loop_
_atom_site_label
_atom_site_fract_x
_atom_site_fract_y
_atom_site_fract_z
La1 0.000 0.000 0.000
Ge1 0.000 0.000 0.500
S1 0.000 0.500 0.500
Br1 0.500 0.500 0.000
# **Theoretical density**: 4.33 g cm⁻³
# **Formation energy from raw total energies**: -2.43 eV per formula unit

---

# La4GeS2Br GGA-PBE optimized geometry
data_La4GeS2Br
_cell_length_a 7.401
_cell_length_b 4.265
_cell_length_c 7.439
_cell_angle_alpha 90.00
_cell_angle_beta 109.06
_cell_angle_gamma 90.00
_space_group_name_H-M_alt 'P 1 2/m 1'
_space_group_IT_number 10
loop_
_space_group_symop_operation_xyz
'x,y,z'
'-x,-y,-z'
'-x,y,-z'
'x,-y,z'
loop_
_atom_site_label
_atom_site_fract_x
_atom_site_fract_y
_atom_site_fract_z
La1 0.226 0.000 0.227
La2 0.237 0.500 0.757
Ge1 0.500 0.000 0.000
S1 0.000 0.000 0.500
S2 0.000 0.500 0.000
Br1 0.500 0.500 0.500
# **Theoretical density**: 5.78 g cm⁻³
# **Formation energy from raw total energies**: -13.41 eV per formula unit

---

# La3GeSbBr GGA-PBE optimized geometry
data_La3GeSbBr
_cell_length_a 7.747
_cell_length_b 4.391
_cell_length_c 11.763
_cell_angle_alpha 90.00
_cell_angle_beta 101.93
_cell_angle_gamma 90.00
_space_group_name_H-M_alt 'P 1 21/m 1'
_space_group_IT_number 11
loop_
_space_group_symop_operation_xyz
'x,y,z'
'-x,-y,-z'
'-x,y+1/2,-z'
'x,-y+1/2,z'
loop_
_atom_site_label
_atom_site_fract_x
_atom_site_fract_y
_atom_site_fract_z
La1 0.041 0.250 0.154
La2 0.219 0.750 0.503
La3 0.453 0.750 0.855
Ge1 0.268 0.750 0.066
Sb1 0.151 0.250 0.689
Br1 0.378 0.250 0.368
# **Theoretical density**: 5.86 g cm⁻³
# **Formation energy from raw total energies**: -6.84 eV per formula unit

---

Number 1: total DFT energy (no corrections) -5.415 eV/atom. Number 2: total DFT energy (no corrections) -5.376 eV/atom. Number 3: total DFT energy (no corrections) -5.711 eV/atom. Number 4: total DFT energy (no corrections) -5.579 eV/atom. Number 5: total DFT energy (no corrections) -6.030 eV/atom. Number 6: total DFT energy (no corrections) -4.380 eV/atom. Number 7: total DFT energy (no corrections) -5.958 eV/atom. Number 8: total DFT energy (no corrections) -5.339 eV/atom.